Run A
A geometry-optimized YHo6Mg structure, computed with PBE-GGA.

Cell: 6.393 6.393 8.545 Å, 110.58 110.58 49.02°
Element x y z (fractional)
Y: 0.000 0.000 0.000
Ho: 0.225 0.225 0.383
Ho: 0.251 0.251 0.856
Ho: 0.491 0.491 0.274
Ho: 0.509 0.509 0.726
Ho: 0.749 0.749 0.144
Ho: 0.775 0.775 0.617
Mg: 0.000 0.000 0.500

Size of the total moment, μB per cell: 0.0


Run B
A geometry-optimized YHo6Mg structure, computed with PBE-GGA.

Cell: 6.308 6.308 6.308 Å, 95.49 95.49 95.49°
Element x y z (fractional)
Y: 0.000 0.000 0.000
Ho: 0.025 0.547 0.257
Ho: 0.257 0.025 0.547
Ho: 0.453 0.743 0.975
Ho: 0.547 0.257 0.025
Ho: 0.743 0.975 0.453
Ho: 0.975 0.453 0.743
Mg: 0.500 0.500 0.500

Size of the total moment, μB per cell: 0.0


Most stable pick: run A. Distance to second place: 0.101 eV/atom.


Run A
A geometry-optimized HoMgZn2 structure, computed with PBE-GGA.

Cell: 4.813 4.813 4.813 Å, 60.00 60.00 60.00°
Element x y z (fractional)
Ho: 0.000 0.000 0.000
Mg: 0.500 0.500 0.500
Zn: 0.250 0.250 0.250
Zn: 0.750 0.750 0.750

Size of the total moment, μB per cell: 0.0


Run B
A geometry-optimized HoMgZn2 structure, computed with PBE-GGA.

Cell: 4.786 4.786 3.593 Å, 90.00 90.00 90.00°
Element x y z (fractional)
Ho: 0.000 0.000 0.000
Mg: 0.500 0.500 0.000
Zn: 0.000 0.500 0.500
Zn: 0.500 0.000 0.500

Size of the total moment, μB per cell: 0.0


Most stable pick: run A. Distance to second place: 0.089 eV/atom.


Run A
A geometry-optimized Ho4MgZn2 structure, computed with PBE-GGA.

Cell: 8.504 8.504 8.504 Å, 34.63 34.63 34.63°
Element x y z (fractional)
Ho: 0.111 0.111 0.111
Ho: 0.366 0.366 0.366
Ho: 0.634 0.634 0.634
Ho: 0.889 0.889 0.889
Mg: 0.500 0.500 0.500
Zn: 0.240 0.240 0.240
Zn: 0.760 0.760 0.760

Size of the total moment, μB per cell: 0.0


Run B
A geometry-optimized Ho4MgZn2 structure, computed with PBE-GGA.

Cell: 9.084 9.084 9.084 Å, 32.36 32.36 32.36°
Element x y z (fractional)
Ho: 0.120 0.120 0.120
Ho: 0.289 0.289 0.289
Ho: 0.711 0.711 0.711
Ho: 0.880 0.880 0.880
Mg: 0.500 0.500 0.500
Zn: 0.402 0.402 0.402
Zn: 0.598 0.598 0.598

Size of the total moment, μB per cell: 0.0


Most stable pick: run A. Distance to second place: 0.155 eV/atom.


Run A
A geometry-optimized HoMg2Zn2 structure, computed with PBE-GGA.

Cell: 12.416 12.416 12.416 Å, 160.50 160.50 27.72°
Element x y z (fractional)
Ho: 0.121 0.121 0.000
Ho: 0.879 0.879 0.000
Mg: 0.000 0.500 0.500
Mg: 0.319 0.319 0.000
Mg: 0.500 0.000 0.500
Mg: 0.681 0.681 0.000
Zn: 0.250 0.750 0.500
Zn: 0.425 0.425 0.000
Zn: 0.575 0.575 0.000
Zn: 0.750 0.250 0.500

Size of the total moment, μB per cell: 0.0


Run B
A geometry-optimized HoMg2Zn2 structure, computed with PBE-GGA.

Cell: 4.761 4.705 9.365 Å, 90.00 104.57 90.00°
Element x y z (fractional)
Ho: 0.159 0.250 0.318
Ho: 0.841 0.750 0.682
Mg: 0.346 0.250 0.693
Mg: 0.454 0.750 0.910
Mg: 0.546 0.250 0.090
Mg: 0.654 0.750 0.307
Zn: 0.042 0.750 0.087
Zn: 0.254 0.750 0.507
Zn: 0.746 0.250 0.493
Zn: 0.958 0.250 0.913

Size of the total moment, μB per cell: 0.0


Most stable pick: run B. Distance to second place: 0.094 eV/atom.